Here is a relaxed KDyCdO3 crystal from Alexandria. Energies are from PBE-GGA.

a b c (Å): 7.424 3.462 9.622
angles (deg): 90.00 93.54 90.00
Fractional positions:
1 K 0.142 0.250 0.219
2 K 0.858 0.750 0.781
3 Dy 0.387 0.750 0.873
4 Dy 0.613 0.250 0.127
5 Cd 0.157 0.250 0.573
6 Cd 0.843 0.750 0.427
7 O 0.165 0.750 0.434
8 O 0.213 0.250 0.802
9 O 0.403 0.750 0.096
10 O 0.597 0.250 0.904
11 O 0.787 0.750 0.198
12 O 0.835 0.250 0.566

- total DFT energy (no corrections) (eV/atom) = -5.62
- energy relative to the elements, uncorrected (eV per atom) = -2.03
- symmetry = No. 11